This record from Alexandria describes a PBEsol-optimized structure of ZrHg2. The functional is meta-GGA SCAN.

Calculated values
Total magnetization, Bohr magnetons per cell: 0.00
Electronic total energy, eV/atom: -55.91

```
3
Lattice="3.158 0.000 0.000 0.000 3.158 0.000 -1.579 -1.579 6.186" Properties=species:S:1:pos:R:3 pbc="T T T"
Hg 0.000 0.000 4.150
Hg 1.579 1.579 2.037
Zr 0.000 0.000 0.000
```